No. 1
The following is a PBE-GGA calculation of an optimized crystal structure of KV3Ge, from Alexandria via LeMat-Bulk.

abc: 4.2896 4.2896 4.2896
angles: 90.00 90.00 90.00
With the nearest neighbours (Å) after each atom.
Positions (direct):
V 0.0000 0.5000 0.0000  2 K 2.14
Ge 0.5000 0.5000 0.5000  12 V 3.03
V 0.0000 0.0000 0.5000  2 K 2.14
K 0.0000 0.0000 0.0000  6 V 2.14
V 0.5000 0.0000 0.0000  2 K 2.14

Crystal system ... cubic
Total magnetization ... 0.0 μB per formula unit
V ... 78.93 Å³ per cell



No. 2
The following is a PBE-GGA calculation of an optimized crystal structure of KVGe, from Alexandria via LeMat-Bulk.

abc: 4.3958 4.3958 7.7938
angles: 90.00 90.00 90.00
With the nearest neighbours (Å) after each atom.
Positions (direct):
K 0.0000 0.5000 0.8546  5 Ge 3.47-3.81, 4 V 3.53, 4 K 3.85
K 0.5000 0.0000 0.1454  5 Ge 3.47-3.81, 4 V 3.53, 4 K 3.85
Ge 0.0000 0.5000 0.3437  4 V 2.51
Ge 0.5000 0.0000 0.6563  4 V 2.51
V 0.5000 0.5000 0.5000  4 Ge 2.51
V 0.0000 0.0000 0.5000  4 Ge 2.51

Crystal system ... tetragonal
Total magnetization ... 0.9 μB per formula unit
V ... 150.60 Å³ per cell



No. 3
The following is a PBE-GGA calculation of an optimized crystal structure of KVGe3, from Alexandria via LeMat-Bulk.

abc: 5.2960 5.2960 5.2960
angles: 90.00 90.00 90.00
With the nearest neighbours (Å) after each atom.
Positions (direct):
K 0.0000 0.0000 0.0000  6 Ge 2.65
Ge 0.0000 0.0000 0.5000  2 K 2.65
Ge 0.5000 0.0000 0.0000  2 K 2.65
Ge 0.0000 0.5000 0.0000  2 K 2.65
V 0.5000 0.5000 0.5000  12 Ge 3.74

Crystal system ... cubic
Total magnetization ... 3.3 μB per formula unit
V ... 148.54 Å³ per cell



No. 4
The following is a PBE-GGA calculation of an optimized crystal structure of K3VGe, from Alexandria via LeMat-Bulk.

abc: 6.4620 6.4620 6.4620
angles: 90.00 90.00 90.00
With the nearest neighbours (Å) after each atom.
Positions (direct):
K 0.5000 0.0000 0.0000  2 Ge 3.23
K 0.0000 0.5000 0.0000  2 Ge 3.23
Ge 0.0000 0.0000 0.0000  6 K 3.23
V 0.5000 0.5000 0.5000  12 K 4.57
K 0.0000 0.0000 0.5000  2 Ge 3.23

Crystal system ... cubic
Total magnetization ... 5.8 μB per formula unit
V ... 269.84 Å³ per cell



No. 5
The following is a PBE-GGA calculation of an optimized crystal structure of KV2Ge, from Alexandria via LeMat-Bulk.

abc: 4.5123 4.5123 9.8224
angles: 76.72 76.72 90.00
With the nearest neighbours (Å) after each atom.
Positions (direct):
V 0.8750 0.1250 0.7500  2 V 2.26
K 0.2500 0.7500 0.5000  4 Ge 3.19, 8 V 3.43
Ge 0.7500 0.2500 0.5000  4 V 2.58
Ge 0.0000 0.0000 0.0000  4 V 2.58
V 0.8750 0.6250 0.2500  2 V 2.26
K 0.5000 0.5000 0.0000  4 Ge 3.19, 8 V 3.43
V 0.3750 0.1250 0.7500  2 V 2.26
V 0.8750 0.1250 0.2500  2 V 2.26

Crystal system ... tetragonal
Total magnetization ... 0.0 μB per formula unit
V ... 189.15 Å³ per cell



No. 6
The following is a PBE-GGA calculation of an optimized crystal structure of KYV2Ge, from Alexandria via LeMat-Bulk.

abc: 4.5498 4.5498 5.2052
angles: 90.00 90.00 90.00
With the nearest neighbours (Å) after each atom.
Positions (direct):
V 0.0000 0.5000 0.0000  2 K 2.27
V 0.5000 0.0000 0.0000  2 K 2.27
Ge 0.5000 0.5000 0.5000  4 Y 3.22, 8 V 3.46
Y 0.0000 0.0000 0.5000  2 K 2.60
K 0.0000 0.0000 0.0000  4 V 2.27

Crystal system ... tetragonal
Total magnetization ... 4.6 μB per formula unit
V ... 107.75 Å³ per cell



No. 7
The following is a PBE-GGA calculation of an optimized crystal structure of KGe3W, from Alexandria via LeMat-Bulk.

abc: 4.9847 4.9847 4.9847
angles: 90.00 90.00 90.00
With the nearest neighbours (Å) after each atom.
Positions (direct):
Ge 0.5000 0.0000 0.0000  2 W 2.49
Ge 0.0000 0.0000 0.5000  2 W 2.49
W 0.0000 0.0000 0.0000  6 Ge 2.49
Ge 0.0000 0.5000 0.0000  2 W 2.49
K 0.5000 0.5000 0.5000  12 Ge 3.52

Crystal system ... cubic
Total magnetization ... 0.0 μB per formula unit
V ... 123.85 Å³ per cell



No. 8
The following is a PBE-GGA calculation of an optimized crystal structure of KGe2W, from Alexandria via LeMat-Bulk.

abc: 6.0808 6.0808 8.6650
angles: 69.46 69.46 90.00
With the nearest neighbours (Å) after each atom.
Positions (direct):
W 0.7500 0.2500 0.5000  4 Ge 2.42
K 0.5000 0.5000 0.0000  8 Ge 3.88-3.89, 4 W 4.30
Ge 0.8746 0.6250 0.2500  2 W 2.42
K 0.2500 0.7500 0.5000  8 Ge 3.88-3.89, 4 W 4.30
Ge 0.8754 0.1250 0.2500  2 W 2.42
Ge 0.3750 0.1246 0.7500  2 W 2.42
Ge 0.8750 0.1254 0.7500  2 W 2.42
W 0.0000 0.0000 0.0000  4 Ge 2.42

Crystal system ... tetragonal
Total magnetization ... 0.8 μB per formula unit
V ... 278.17 Å³ per cell



no.,E_form (eV/atom)
1,2.361
2,0.091
3,1.878
4,1.000
5,0.926
6,1.993
7,0.128
8,0.501